(1)
# Sc2Pb2Cl (PBE-GGA, relaxed)
data_Sc2Pb2Cl
_symmetry_space_group_name_H-M 'P 1'
_symmetry_Int_Tables_number 1
_cell_length_a 7.055
_cell_length_b 7.055
_cell_length_c 4.852
_cell_angle_alpha 90.00
_cell_angle_beta 90.00
_cell_angle_gamma 90.00
loop_
_symmetry_equiv_pos_as_xyz
'x,y,z'
loop_
_atom_site_label
_atom_site_type_symbol
_atom_site_fract_x
_atom_site_fract_y
_atom_site_fract_z
Pb1 Pb 0.158 0.658 0.500
Pb2 Pb 0.658 0.842 0.500
Pb3 Pb 0.842 0.342 0.500
Pb4 Pb 0.342 0.158 0.500
Sc1 Sc 0.341 0.841 0.000
Sc2 Sc 0.841 0.659 0.000
Sc3 Sc 0.659 0.159 0.000
Sc4 Sc 0.159 0.341 0.000
Cl1 Cl 0.000 0.000 0.000
Cl2 Cl 0.500 0.500 0.000
# ΔE_f (raw) (eV per atom): -0.64
# Calculated volume (Å³ per cell): 241.50
# DOS(E_F) (states/eV/f.u.): 4.081
# DFT total energy (eV/atom): -5.0294


(2)
# ScPb2Cl (PBE-GGA, relaxed)
data_ScPb2Cl
_symmetry_space_group_name_H-M 'P 1'
_symmetry_Int_Tables_number 1
_cell_length_a 3.360
_cell_length_b 3.360
_cell_length_c 9.878
_cell_angle_alpha 90.00
_cell_angle_beta 90.00
_cell_angle_gamma 90.00
loop_
_symmetry_equiv_pos_as_xyz
'x,y,z'
loop_
_atom_site_label
_atom_site_type_symbol
_atom_site_fract_x
_atom_site_fract_y
_atom_site_fract_z
Cl1 Cl 0.500 0.500 0.656
Pb1 Pb 0.000 0.000 0.030
Pb2 Pb 0.500 0.500 0.292
Sc1 Sc 0.000 0.000 0.523
# ΔE_f (raw) (eV per atom): -0.59
# Relative energy among the computed polymorphs (meV/atom): 88.3
# Calculated volume (Å³ per cell): 111.52
# DOS(E_F) (states/eV/f.u.): 3.440
# DFT total energy (eV/atom): -4.4860


(3)
# Sc4PbCl (PBE-GGA, relaxed)
data_Sc4PbCl
_symmetry_space_group_name_H-M 'P 1'
_symmetry_Int_Tables_number 1
_cell_length_a 5.976
_cell_length_b 5.976
_cell_length_c 5.976
_cell_angle_alpha 60.00
_cell_angle_beta 60.00
_cell_angle_gamma 60.00
loop_
_symmetry_equiv_pos_as_xyz
'x,y,z'
loop_
_atom_site_label
_atom_site_type_symbol
_atom_site_fract_x
_atom_site_fract_y
_atom_site_fract_z
Sc1 Sc 0.882 0.373 0.373
Sc2 Sc 0.373 0.373 0.882
Sc3 Sc 0.373 0.882 0.373
Sc4 Sc 0.373 0.373 0.373
Pb1 Pb 0.000 0.000 0.000
Cl1 Cl 0.750 0.750 0.750
# ΔE_f (raw) (eV per atom): 0.07
# Calculated volume (Å³ per cell): 150.94
# DOS(E_F) (states/eV/f.u.): 6.095
# DFT total energy (eV/atom): -5.0751


(4)
# ScPbCl2 (PBE-GGA, relaxed)
data_ScPbCl2
_symmetry_space_group_name_H-M 'P 1'
_symmetry_Int_Tables_number 1
_cell_length_a 5.029
_cell_length_b 3.561
_cell_length_c 5.863
_cell_angle_alpha 72.41
_cell_angle_beta 90.00
_cell_angle_gamma 90.00
loop_
_symmetry_equiv_pos_as_xyz
'x,y,z'
loop_
_atom_site_label
_atom_site_type_symbol
_atom_site_fract_x
_atom_site_fract_y
_atom_site_fract_z
Pb1 Pb 0.000 0.533 0.556
Sc1 Sc 0.500 0.904 0.818
Cl1 Cl 0.000 0.818 0.990
Cl2 Cl 0.500 0.245 0.136
# ΔE_f (raw) (eV per atom): -1.06
# Relative energy among the computed polymorphs (meV/atom): 220.2
# Calculated volume (Å³ per cell): 100.10
# DOS(E_F) (states/eV/f.u.): 1.363
# DFT total energy (eV/atom): -4.4894


(5)
# ScPb2Cl (PBE-GGA, relaxed)
data_ScPb2Cl
_symmetry_space_group_name_H-M 'P 1'
_symmetry_Int_Tables_number 1
_cell_length_a 3.425
_cell_length_b 5.648
_cell_length_c 5.459
_cell_angle_alpha 90.00
_cell_angle_beta 90.00
_cell_angle_gamma 90.00
loop_
_symmetry_equiv_pos_as_xyz
'x,y,z'
loop_
_atom_site_label
_atom_site_type_symbol
_atom_site_fract_x
_atom_site_fract_y
_atom_site_fract_z
Cl1 Cl 0.000 0.500 0.500
Pb1 Pb 0.000 0.000 0.000
Pb2 Pb 0.500 0.500 0.000
Sc1 Sc 0.500 0.000 0.500
# ΔE_f (raw) (eV per atom): -0.31
# Relative energy among the computed polymorphs (meV/atom): 363.8
# Calculated volume (Å³ per cell): 105.59
# DOS(E_F) (states/eV/f.u.): 2.721
# DFT total energy (eV/atom): -4.2106


(6)
# Sc2PbCl (PBE-GGA, relaxed)
data_Sc2PbCl
_symmetry_space_group_name_H-M 'P 1'
_symmetry_Int_Tables_number 1
_cell_length_a 8.857
_cell_length_b 8.857
_cell_length_c 8.857
_cell_angle_alpha 22.34
_cell_angle_beta 22.34
_cell_angle_gamma 22.34
loop_
_symmetry_equiv_pos_as_xyz
'x,y,z'
loop_
_atom_site_label
_atom_site_type_symbol
_atom_site_fract_x
_atom_site_fract_y
_atom_site_fract_z
Cl1 Cl 0.250 0.250 0.250
Pb1 Pb 0.750 0.750 0.750
Sc1 Sc 0.989 0.989 0.989
Sc2 Sc 0.511 0.511 0.511
# ΔE_f (raw) (eV per atom): -0.64
# Relative energy among the computed polymorphs (meV/atom): 154.7
# Calculated volume (Å³ per cell): 88.05
# DOS(E_F) (states/eV/f.u.): 4.222
# DFT total energy (eV/atom): -5.1963


(7)
# ScPb2Cl (PBE-GGA, relaxed)
data_ScPb2Cl
_symmetry_space_group_name_H-M 'P 1'
_symmetry_Int_Tables_number 1
_cell_length_a 7.968
_cell_length_b 7.968
_cell_length_c 7.968
_cell_angle_alpha 156.06
_cell_angle_beta 147.67
_cell_angle_gamma 40.63
loop_
_symmetry_equiv_pos_as_xyz
'x,y,z'
loop_
_atom_site_label
_atom_site_type_symbol
_atom_site_fract_x
_atom_site_fract_y
_atom_site_fract_z
Cl1 Cl 0.250 0.750 0.500
Pb1 Pb 0.941 0.941 0.000
Pb2 Pb 0.559 0.559 0.000
Sc1 Sc 0.750 0.250 0.500
# ΔE_f (raw) (eV per atom): -0.52
# Relative energy among the computed polymorphs (meV/atom): 155.1
# Calculated volume (Å³ per cell): 109.59
# DOS(E_F) (states/eV/f.u.): 2.730
# DFT total energy (eV/atom): -4.4192


(8)
# ScPbCl3 (PBE-GGA, relaxed)
data_ScPbCl3
_symmetry_space_group_name_H-M 'P 1'
_symmetry_Int_Tables_number 1
_cell_length_a 5.626
_cell_length_b 5.626
_cell_length_c 5.626
_cell_angle_alpha 90.00
_cell_angle_beta 90.00
_cell_angle_gamma 90.00
loop_
_symmetry_equiv_pos_as_xyz
'x,y,z'
loop_
_atom_site_label
_atom_site_type_symbol
_atom_site_fract_x
_atom_site_fract_y
_atom_site_fract_z
Pb1 Pb 0.000 0.000 0.000
Sc1 Sc 0.500 0.500 0.500
Cl1 Cl 0.000 0.500 0.000
Cl2 Cl 0.000 0.000 0.500
Cl3 Cl 0.500 0.000 0.000
# ΔE_f (raw) (eV per atom): -0.44
# Relative energy among the computed polymorphs (meV/atom): 709.8
# Calculated volume (Å³ per cell): 178.12
# DOS(E_F) (states/eV/f.u.): 15.639
# DFT total energy (eV/atom): -3.5521


(9)
# ScPb2Cl (PBE-GGA, relaxed)
data_ScPb2Cl
_symmetry_space_group_name_H-M 'P 1'
_symmetry_Int_Tables_number 1
_cell_length_a 5.577
_cell_length_b 5.577
_cell_length_c 3.324
_cell_angle_alpha 90.01
_cell_angle_beta 90.01
_cell_angle_gamma 90.47
loop_
_symmetry_equiv_pos_as_xyz
'x,y,z'
loop_
_atom_site_label
_atom_site_type_symbol
_atom_site_fract_x
_atom_site_fract_y
_atom_site_fract_z
Cl1 Cl 0.000 0.500 0.500
Pb1 Pb 0.000 0.000 0.000
Pb2 Pb 0.500 0.500 0.000
Sc1 Sc 0.500 0.000 0.500
# ΔE_f (raw) (eV per atom): -0.39
# Relative energy among the computed polymorphs (meV/atom): 284.9
# Calculated volume (Å³ per cell): 103.39
# DOS(E_F) (states/eV/f.u.): 2.476
# DFT total energy (eV/atom): -4.2894


(10)
# ScPbCl4 (PBE-GGA, relaxed)
data_ScPbCl4
_symmetry_space_group_name_H-M 'P 1'
_symmetry_Int_Tables_number 1
_cell_length_a 5.935
_cell_length_b 5.935
_cell_length_c 5.935
_cell_angle_alpha 60.00
_cell_angle_beta 60.00
_cell_angle_gamma 60.00
loop_
_symmetry_equiv_pos_as_xyz
'x,y,z'
loop_
_atom_site_label
_atom_site_type_symbol
_atom_site_fract_x
_atom_site_fract_y
_atom_site_fract_z
Sc1 Sc 0.000 0.000 0.000
Pb1 Pb 0.750 0.750 0.750
Cl1 Cl 0.877 0.374 0.374
Cl2 Cl 0.374 0.374 0.877
Cl3 Cl 0.374 0.877 0.374
Cl4 Cl 0.374 0.374 0.374
# ΔE_f (raw) (eV per atom): -0.03
# Calculated volume (Å³ per cell): 147.79
# DOS(E_F) (states/eV/f.u.): 7.633
# DFT total energy (eV/atom): -2.9354


(11)
# Sc2PbCl (PBE-GGA, relaxed)
data_Sc2PbCl
_symmetry_space_group_name_H-M 'P 1'
_symmetry_Int_Tables_number 1
_cell_length_a 4.100
_cell_length_b 4.100
_cell_length_c 7.070
_cell_angle_alpha 75.94
_cell_angle_beta 75.94
_cell_angle_gamma 51.45
loop_
_symmetry_equiv_pos_as_xyz
'x,y,z'
loop_
_atom_site_label
_atom_site_type_symbol
_atom_site_fract_x
_atom_site_fract_y
_atom_site_fract_z
Cl1 Cl 0.250 0.250 0.250
Pb1 Pb 0.750 0.750 0.750
Sc1 Sc 0.988 0.988 0.041
Sc2 Sc 0.512 0.512 0.459
# ΔE_f (raw) (eV per atom): -0.66
# Relative energy among the computed polymorphs (meV/atom): 132.7
# Calculated volume (Å³ per cell): 89.48
# DOS(E_F) (states/eV/f.u.): 2.842
# DFT total energy (eV/atom): -5.2183


(12)
# ScPb2Cl (PBE-GGA, relaxed)
data_ScPb2Cl
_symmetry_space_group_name_H-M 'P 1'
_symmetry_Int_Tables_number 1
_cell_length_a 3.496
_cell_length_b 3.496
_cell_length_c 10.723
_cell_angle_alpha 90.00
_cell_angle_beta 90.00
_cell_angle_gamma 118.59
loop_
_symmetry_equiv_pos_as_xyz
'x,y,z'
loop_
_atom_site_label
_atom_site_type_symbol
_atom_site_fract_x
_atom_site_fract_y
_atom_site_fract_z
Cl1 Cl 0.500 0.500 0.682
Pb1 Pb 0.000 0.000 0.020
Pb2 Pb 0.500 0.500 0.283
Sc1 Sc 0.000 0.000 0.515
# ΔE_f (raw) (eV per atom): -0.60
# Relative energy among the computed polymorphs (meV/atom): 75.5
# Calculated volume (Å³ per cell): 115.08
# DOS(E_F) (states/eV/f.u.): 2.202
# DFT total energy (eV/atom): -4.4989